## NiRuPb3 (PBE-GGA)

Data for an optimized crystal structure of NiRuPb3.

Summary:
D(E_F) in states/eV/cell: 2.08
Formation energy in meV per atom: 737
Energy above the lowest structure with this stoichiometry in meV per atom: 0

Cell lengths 5.2308, 5.2308, 5.2308 Å; angles 90.00, 90.00, 90.00 degrees
With the nearest neighbours (Å) after each atom.
Fractional positions:
1 Ni 0.5000 0.5000 0.5000  12 Pb 3.70
2 Pb 0.0000 0.5000 0.0000  2 Ru 2.62
3 Pb 0.5000 0.0000 0.0000  2 Ru 2.62
4 Pb 0.0000 0.0000 0.5000  2 Ru 2.62
5 Ru 0.0000 0.0000 0.0000  6 Pb 2.62



## LaAsW2 (PBE-GGA)

Data for an optimized crystal structure of LaAsW2.

Summary:
D(E_F) in states/eV/cell: 2.88
Formation energy in meV per atom: 314

Cell lengths 3.0074, 3.0074, 9.3821 Å; angles 90.00, 90.00, 111.58 degrees
With the nearest neighbours (Å) after each atom.
Fractional positions:
1 W 0.5000 0.5000 0.2483  2 W 2.61, 2 As 2.64
2 W 0.0000 0.0000 0.0358  2 W 2.61
3 As 0.0000 0.0000 0.4643  2 W 2.64
4 La 0.5000 0.5000 0.7516  4 La 3.01, 2 W 3.16, 2 As 3.18



## Ca2OsW (PBE-GGA)

Data for an optimized crystal structure of Ca2OsW.

Summary:
D(E_F) in states/eV/cell: 4.72
Formation energy in meV per atom: 841

Cell lengths 2.8702, 5.0213, 5.4475 Å; angles 90.00, 90.00, 90.00 degrees
With the nearest neighbours (Å) after each atom.
Fractional positions:
1 Os 0.5000 0.5000 0.2500  2 W 2.72, 2 Os 2.87
2 Ca 0.0000 0.0000 0.4946  4 Ca 2.67-2.87
3 Ca 0.0000 0.0000 0.0054  4 Ca 2.67-2.87
4 W 0.5000 0.5000 0.7500  2 Os 2.72, 2 W 2.87



## DyErAgAu (PBE-GGA)

Data for an optimized crystal structure of DyErAgAu.

Summary:
D(E_F) in states/eV/cell: 2.48
Formation energy in meV per atom: -604
Energy above the lowest structure with this stoichiometry in meV per atom: 0

Cell lengths 3.5858, 3.5858, 7.2550 Å; angles 90.00, 90.00, 90.00 degrees
With the nearest neighbours (Å) after each atom.
Fractional positions:
1 Er 0.5000 0.5000 0.1123  4 Au 3.07, 4 Ag 3.12
2 Au 0.0000 0.0000 0.3516  4 Er 3.07, 4 Dy 3.12
3 Dy 0.5000 0.5000 0.6017  4 Au 3.12, 4 Ag 3.16
4 Ag 0.0000 0.0000 0.8623  4 Er 3.12, 4 Dy 3.16



## VIrW (PBE-GGA)

Data for an optimized crystal structure of VIrW.

Summary:
D(E_F) in states/eV/cell: 4.57
Formation energy in meV per atom: -63
Energy above the lowest structure with this stoichiometry in meV per atom: 0

Cell lengths 2.7166, 4.3377, 4.3377 Å; angles 120.00, 90.00, 90.00 degrees
With the nearest neighbours (Å) after each atom.
Fractional positions:
1 V 0.2996 0.3333 0.6667  3 W 2.60, 3 Ir 2.68, 2 V 2.72
2 Ir 0.6549 0.6667 0.3333  3 V 2.68, 2 Ir 2.72, 6 W 2.72-3.00
3 W 0.0455 0.0000 0.0000  3 V 2.60, 2 W 2.72, 3 Ir 2.72



## NaCaInPb (PBE-GGA)

Data for an optimized crystal structure of NaCaInPb.

Summary:
D(E_F) in states/eV/cell: 1.83
Formation energy in meV per atom: -314
Energy above the lowest structure with this stoichiometry in meV per atom: 0

Cell lengths 3.8500, 5.4212, 5.4880 Å; angles 90.00, 90.00, 90.00 degrees
With the nearest neighbours (Å) after each atom.
Fractional positions:
1 Ca 0.0000 0.5000 0.5000  4 Pb 3.32, 4 In 3.35
2 Pb 0.5000 0.0000 0.5000  4 Ca 3.32, 4 Na 3.35
3 Na 0.0000 0.0000 0.0000  4 In 3.32, 4 Pb 3.35
4 In 0.5000 0.5000 0.0000  4 Na 3.32, 4 Ca 3.35



## Sc2MoW (PBE-GGA)

Data for an optimized crystal structure of Sc2MoW.

Summary:
D(E_F) in states/eV/cell: 4.38
Formation energy in meV per atom: 285
Energy above the lowest structure with this stoichiometry in meV per atom: 255

Cell lengths 4.9921, 4.9921, 5.5494 Å; angles 90.85, 90.85, 32.37 degrees
With the nearest neighbours (Å) after each atom.
Fractional positions:
1 W 0.5081 0.5081 0.5110  1 Mo 2.58, 2 W 2.78, 1 Sc 2.85
2 Mo 0.7447 0.7447 0.7375  1 W 2.58, 2 Mo 2.78, 1 Sc 2.81
3 Sc 0.9998 0.9998 0.9949  3 Sc 2.76-2.78, 1 Mo 2.81, 2 W 3.03
4 Sc 0.2474 0.2474 0.2565  3 Sc 2.76-2.78, 3 W 2.85-3.05, 2 Mo 3.01



## BeAl2Ir (PBE-GGA)

Data for an optimized crystal structure of BeAl2Ir.

Summary:
D(E_F) in states/eV/cell: 2.16
Formation energy in meV per atom: -505

Cell lengths 4.3408, 4.7940, 6.2296 Å; angles 74.01, 81.45, 63.47 degrees
With the nearest neighbours (Å) after each atom.
Fractional positions:
1 Al 0.6135 0.8252 0.2737  2 Be 2.34-2.42
2 Al 0.2567 0.3620 0.4264  1 Be 2.53, 3 Ir 2.53-2.67, 3 Al 2.65-2.78
3 Al 0.5142 0.8263 0.7411  3 Ir 2.52-2.64, 3 Be 2.61-2.65, 3 Al 2.65-2.75
4 Al 0.1819 0.4472 0.8744  3 Ir 2.51-2.71, 3 Be 2.60-2.70, 2 Al 2.69-2.75
5 Ir 0.0171 0.9195 0.4946  2 Be 2.26-2.44
6 Ir 0.6703 0.3748 0.0870  3 Be 2.27-2.44, 3 Al 2.51-2.52
7 Be 0.8381 0.1534 0.7869  2 Ir 2.26-2.27, 1 Be 2.32
8 Be 0.1434 0.8574 0.1113  1 Be 2.32, 3 Al 2.34-2.53, 3 Ir 2.39-2.44



## BiRhCl6 (PBE-GGA)

Data for an optimized crystal structure of BiRhCl6.

Summary:
Total energy in eV per atom: -3.50

Cell lengths 6.3253, 6.3250, 6.8658 Å; angles 62.56, 62.56, 59.99 degrees
With the nearest neighbours (Å) after each atom.
Fractional positions:
1 Cl 0.7813 0.0567 0.7669  1 Rh 2.37
2 Cl 0.2187 0.9433 0.2331  1 Rh 2.37
3 Cl 0.3950 0.7813 0.7669  1 Rh 2.37
4 Cl 0.6050 0.2187 0.2331  1 Rh 2.37
5 Cl 0.0567 0.3951 0.7669  1 Rh 2.37
6 Cl 0.9433 0.6049 0.2331  1 Rh 2.37
7 Bi 0.5000 0.5000 0.5000  6 Cl 2.77
8 Rh 0.0000 0.0000 0.0000  6 Cl 2.37



## ScAsSe2Br (PBE-GGA)

Data for an optimized crystal structure of ScAsSe2Br.

Summary:
D(E_F) in states/eV/cell: 4.49
Energy above the lowest structure with this stoichiometry in meV per atom: 157

Cell lengths 5.0480, 5.0480, 5.4720 Å; angles 90.00, 90.00, 90.00 degrees
With the nearest neighbours (Å) after each atom.
Fractional positions:
1 Sc 0.0000 0.0000 0.0000  4 Se 2.52, 2 As 2.74
2 Br 0.5000 0.5000 0.5000  4 As 3.57, 8 Se 3.72
3 Se 0.0000 0.5000 0.0000  2 Sc 2.52
4 Se 0.5000 0.0000 0.0000  2 Sc 2.52
5 As 0.0000 0.0000 0.5000  2 Sc 2.74



## Rb2BiPtI6 (PBE-GGA)

Data for an optimized crystal structure of Rb2BiPtI6.

Summary:
D(E_F) in states/eV/cell: 3.08
Total energy in eV per atom: -2.80

Cell lengths 8.4355, 8.4355, 8.4022 Å; angles 59.87, 59.87, 90.00 degrees
With the nearest neighbours (Å) after each atom.
Fractional positions:
1 I 0.2639 0.2639 0.4722  1 Pt 2.79, 1 Bi 3.12
2 I 0.7373 0.7373 0.0000  1 Pt 2.83, 1 Bi 3.13
3 I 0.2627 0.7373 0.0000  1 Pt 2.83, 1 Bi 3.13
4 I 0.2627 0.2627 0.0000  1 Pt 2.83, 1 Bi 3.13
5 I 0.7361 0.7361 0.5278  1 Pt 2.79, 1 Bi 3.12
6 I 0.7373 0.2627 0.0000  1 Pt 2.83, 1 Bi 3.13
7 Pt 0.5000 0.5000 0.0000  6 I 2.79-2.83
8 Rb 0.2500 0.7500 0.5000  12 I 4.20-4.22
9 Rb 0.7500 0.2500 0.5000  12 I 4.20-4.22
10 Bi 0.0000 0.0000 0.0000  6 I 3.12-3.13



## Ba2TmPN4 (PBE-GGA)

Data for an optimized crystal structure of Ba2TmPN4.

Summary:
Total energy in eV per atom: -6.49

Cell lengths 5.2130, 6.2936, 11.3851 Å; angles 84.56, 76.77, 65.53 degrees
With the nearest neighbours (Å) after each atom.
Fractional positions:
1 N 0.2635 0.1855 0.9171  1 P 1.70
2 N 0.4865 0.3145 0.5829  1 P 1.70
3 N 0.8194 0.8145 0.9171  1 P 1.70
4 N 0.9306 0.6855 0.5829  1 P 1.70
5 N 0.5510 0.1855 0.0829  1 P 1.70
6 N 0.3839 0.6855 0.4171  1 P 1.70
7 N 0.3661 0.8145 0.0829  1 P 1.70
8 N 0.1990 0.3145 0.4171  1 P 1.70
9 Ba 0.1825 0.0000 0.6350  4 N 2.95-3.03
10 Ba 0.5675 0.5000 0.8650  4 N 2.95-3.03
11 Ba 0.8175 0.0000 0.3650  4 N 2.95-3.03
12 Ba 0.9325 0.5000 0.1350  4 N 2.95-3.03
13 Tm 0.0000 0.0000 0.0000  4 N 2.16
14 Tm 0.7500 0.5000 0.5000  4 N 2.16
15 P 0.2500 0.5000 0.5000  4 N 1.70
16 P 0.5000 0.0000 0.0000  4 N 1.70



## Pr8Ir3I3Cl (PBE-GGA)

Data for an optimized crystal structure of Pr8Ir3I3Cl.

Summary:
D(E_F) in states/eV/cell: 8.07
Total energy in eV per atom: -5.64

Cell lengths 8.6384, 8.6394, 9.2246 Å; angles 117.93, 90.00, 120.00 degrees
With the nearest neighbours (Å) after each atom.
Fractional positions:
1 Ir 0.5000 0.0000 0.5000  6 Pr 2.85-2.89
2 Ir 0.0000 0.5000 0.5000  6 Pr 2.86-2.89
3 Ir 0.5000 0.5000 0.5000  6 Pr 2.86-2.89
4 Cl 0.0000 0.0000 0.5000  6 Pr 3.15
5 I 0.0000 0.5000 0.0000  6 Pr 3.48-3.49
6 I 0.0000 0.0000 0.0000  6 Pr 3.48-3.49
7 I 0.5000 0.5000 0.0000  6 Pr 3.48-3.49
8 Pr 0.7501 0.0475 0.2977  2 Ir 2.85-2.86, 1 Cl 3.15
9 Pr 0.7499 0.4998 0.2974  2 Ir 2.86, 1 Cl 3.15
10 Pr 0.2499 0.9525 0.7023  2 Ir 2.85-2.86, 1 Cl 3.15
11 Pr 0.7290 0.4580 0.6871  3 Ir 2.89
12 Pr 0.2974 0.0475 0.2977  2 Ir 2.85-2.86, 1 Cl 3.15
13 Pr 0.2710 0.5420 0.3129  3 Ir 2.89
14 Pr 0.7026 0.9525 0.7023  2 Ir 2.85-2.86, 1 Cl 3.15
15 Pr 0.2501 0.5002 0.7026  2 Ir 2.86, 1 Cl 3.15



## Rb2HgF2 (PBE-GGA)

Data for an optimized crystal structure of Rb2HgF2.

Summary:
D(E_F) in states/eV/cell: 0.00
Total energy in eV per atom: -3.19

Cell lengths 5.2006, 5.2006, 7.3438 Å; angles 69.26, 69.26, 90.00 degrees
With the nearest neighbours (Å) after each atom.
Fractional positions:
1 Rb 0.6875 0.6875 0.6251  4 F 2.72
2 Rb 0.3125 0.3125 0.3749  4 F 2.72
3 F 0.2500 0.7500 0.5000  4 Rb 2.72
4 F 0.7500 0.2500 0.5000  4 Rb 2.72
5 Hg 0.0000 0.0000 0.0000  10 Rb 3.97-4.38, 8 F 4.11



## BaDyZn (PBE-GGA)

Data for an optimized crystal structure of BaDyZn.

Summary:
D(E_F) in states/eV/cell: 2.71
Formation energy in meV per atom: -79
Energy above the lowest structure with this stoichiometry in meV per atom: 0

Cell lengths 3.8394, 3.8394, 7.2938 Å; angles 105.26, 105.26, 90.00 degrees
With the nearest neighbours (Å) after each atom.
Fractional positions:
1 Zn 0.6923 0.6923 0.3847  4 Dy 3.01
2 Dy 0.2888 0.2888 0.5776  4 Zn 3.01
3 Ba 0.0189 0.0189 0.0377  4 Zn 3.59, 1 Dy 3.66, 4 Ba 3.84



## PmLuGaTc (PBE-GGA)

Data for an optimized crystal structure of PmLuGaTc.

Summary:
D(E_F) in states/eV/cell: 3.37
Formation energy in meV per atom: -192

Cell lengths 4.9663, 4.9663, 4.9663 Å; angles 60.00, 60.00, 60.00 degrees
With the nearest neighbours (Å) after each atom.
Fractional positions:
1 Pm 0.0000 0.0000 0.0000  4 Tc 3.04, 4 Ga 3.04
2 Tc 0.7500 0.7500 0.7500  4 Lu 3.04, 4 Pm 3.04
3 Ga 0.2500 0.2500 0.2500  4 Pm 3.04, 4 Lu 3.04
4 Lu 0.5000 0.5000 0.5000  4 Ga 3.04, 4 Tc 3.04



## RhPb2Cl (PBE-GGA)

Data for an optimized crystal structure of RhPb2Cl.

Summary:
D(E_F) in states/eV/cell: 1.76
Energy above the lowest structure with this stoichiometry in meV per atom: 37

Cell lengths 5.5473, 3.3653, 5.2465 Å; angles 80.09, 90.00, 90.00 degrees
With the nearest neighbours (Å) after each atom.
Fractional positions:
1 Cl 0.5000 0.7766 0.8498  5 Pb 2.83-3.08
2 Pb 0.0000 0.9947 0.9198  3 Rh 2.81-2.98, 2 Cl 2.91
3 Pb 0.5000 0.3664 0.3687  2 Rh 2.77, 3 Cl 2.83-3.08
4 Rh 0.0000 0.3624 0.3617  5 Pb 2.77-2.98



## Ta2H2Ir (PBE-GGA)

Data for an optimized crystal structure of Ta2H2Ir.

Summary:
D(E_F) in states/eV/cell: 2.75
Energy above the lowest structure with this stoichiometry in meV per atom: 156

Cell lengths 2.9424, 2.9424, 6.6181 Å; angles 90.00, 90.00, 90.00 degrees
With the nearest neighbours (Å) after each atom.
Fractional positions:
1 H 0.0000 0.5000 0.5000  4 Ta 2.05, 4 H 2.08
2 H 0.5000 0.0000 0.5000  4 Ta 2.05, 4 H 2.08
3 Ta 0.5000 0.5000 0.7163  4 H 2.05
4 Ta 0.5000 0.5000 0.2837  4 H 2.05
5 Ir 0.0000 0.0000 0.0000  8 Ta 2.80, 4 Ir 2.94



## CaBeF2 (PBE-GGA)

Data for an optimized crystal structure of CaBeF2.

Summary:
D(E_F) in states/eV/cell: 4.17
Energy above the lowest structure with this stoichiometry in meV per atom: 487

Cell lengths 5.8440, 5.8440, 5.8440 Å; angles 124.92, 124.92, 81.67 degrees
With the nearest neighbours (Å) after each atom.
Fractional positions:
1 Ca 0.7500 0.2500 0.5000  12 F 3.22-3.58, 4 Ca 3.49, 4 Be 3.49
2 Ca 0.0000 0.0000 0.0000  12 F 3.22-3.58, 4 Ca 3.49, 4 Be 3.49
3 F 0.3750 0.6250 0.2500  2 Be 1.75
4 F 0.3750 0.1250 0.7500  2 Be 1.75
5 F 0.8750 0.6250 0.2500  2 Be 1.75
6 F 0.3750 0.6250 0.7500  2 Be 1.75
7 Be 0.5000 0.5000 0.0000  4 F 1.75
8 Be 0.2500 0.7500 0.5000  4 F 1.75



## YPdSe2 (PBE-GGA)

Data for an optimized crystal structure of YPdSe2.

Summary:
D(E_F) in states/eV/cell: 8.90
Total energy in eV per atom: -5.58

Cell lengths 5.3816, 5.3816, 8.2950 Å; angles 71.07, 71.07, 90.00 degrees
With the nearest neighbours (Å) after each atom.
Fractional positions:
1 Se 0.6632 0.1250 0.2500  2 Pd 2.55, 2 Y 2.76
2 Se 0.8750 0.9132 0.7500  2 Pd 2.55, 2 Y 2.76
3 Se 0.0868 0.6250 0.2500  2 Pd 2.55, 2 Y 2.76
4 Se 0.3750 0.3368 0.7500  2 Pd 2.55, 2 Y 2.76
5 Y 0.5000 0.5000 0.0000  4 Se 2.76
6 Y 0.2500 0.7500 0.5000  4 Se 2.76
7 Pd 0.7500 0.2500 0.5000  4 Se 2.55
8 Pd 0.0000 0.0000 0.0000  4 Se 2.55



Number 1: spin magnetization 0.02 Bohr magnetons per cell. Number 2: spin magnetization 0.00 Bohr magnetons per cell. Number 3: spin magnetization 0.12 Bohr magnetons per cell. Number 4: spin magnetization 0.00 Bohr magnetons per cell. Number 5: spin magnetization 0.00 Bohr magnetons per cell. Number 6: spin magnetization 0.00 Bohr magnetons per cell. Number 7: spin magnetization 0.00 Bohr magnetons per cell. Number 8: spin magnetization 0.00 Bohr magnetons per cell. Number 9: spin magnetization 0.00 Bohr magnetons per cell. Number 10: spin magnetization 0.51 Bohr magnetons per cell. Number 11: spin magnetization 0.00 Bohr magnetons per cell. Number 12: spin magnetization 0.00 Bohr magnetons per cell. Number 13: spin magnetization 0.00 Bohr magnetons per cell. Number 14: spin magnetization 0.00 Bohr magnetons per cell. Number 15: spin magnetization 0.00 Bohr magnetons per cell. Number 16: spin magnetization 0.00 Bohr magnetons per cell. Number 17: spin magnetization 0.00 Bohr magnetons per cell. Number 18: spin magnetization 0.00 Bohr magnetons per cell. Number 19: spin magnetization 0.00 Bohr magnetons per cell. Number 20: spin magnetization 0.00 Bohr magnetons per cell.